The following is a DFT calculation (PBE) of crystalline Hf2Zr at its relaxed geometry.

a b c (Å): 3.210 8.502 9.907
angles (deg): 30.95 80.76 79.15
Atoms (fractional coordinates):
Hf 0.973 0.052 0.001
Hf 0.638 0.726 0.000
Hf 0.749 0.004 0.499
Hf 0.085 0.330 0.500
Zr 0.306 0.390 0.000
Zr 0.416 0.665 0.500

Output
Space-group type   P-1, No. 2
ρ   10.9 g/cm³
Energy of formation from the pure elements   -0.001 eV per atom